# 1
Below is an optimized crystal structure of DyPa2P, with properties calculated at the PBE level.

abc: 10.2776 10.2776 10.2776
angles: 19.34 19.34 19.34
Closest atoms and distances in Å follow each position.
Element x y z (fractional)
Dy 0.0000 0.0000 0.0000  2 Pa 3.18, 6 Dy 3.45
Pa 0.1051 0.1051 0.1051  3 P 2.73
Pa 0.8949 0.8949 0.8949  3 P 2.73
P 0.5000 0.5000 0.5000  6 Pa 2.73

ΔE_f: -141 meV per atom
DFT total energy: -7.392 eV per atom

# 2
Below is an optimized crystal structure of ZrAl3Ni, with properties calculated at the PBE level.

abc: 6.4698 3.9663 6.4753
angles: 90.00 104.34 90.00
Closest atoms and distances in Å follow each position.
Element x y z (fractional)
Zr 0.1723 0.2500 0.1910  8 Al 2.89-3.22, 2 Ni 3.02
Zr 0.8277 0.7500 0.8090  8 Al 2.89-3.22, 2 Ni 3.02
Al 0.0905 0.2500 0.6733  3 Ni 2.37-2.47, 1 Al 2.60
Al 0.3419 0.7500 0.9262  1 Ni 2.34
Al 0.4856 0.2500 0.6479  3 Ni 2.35-2.46, 1 Al 2.60
Al 0.5144 0.7500 0.3521  3 Ni 2.35-2.46, 1 Al 2.60
Al 0.6581 0.2500 0.0738  1 Ni 2.34
Al 0.9095 0.7500 0.3267  3 Ni 2.37-2.47, 1 Al 2.60
Ni 0.2580 0.7500 0.5537  7 Al 2.34-2.47
Ni 0.7420 0.2500 0.4463  7 Al 2.34-2.47

ΔE_f: -544 meV per atom
DFT total energy: -5.655 eV per atom

# 3
Below is an optimized crystal structure of Al2Ni3, with properties calculated at the PBE level.

abc: 6.4454 4.8501 7.3631
angles: 59.55 40.44 80.01
Closest atoms and distances in Å follow each position.
Element x y z (fractional)
Al 0.2665 0.7335 0.3388  8 Ni 2.41-2.66
Al 0.5888 0.9112 0.5165  8 Ni 2.41-2.66
Al 0.7335 0.2665 0.6612  8 Ni 2.41-2.66
Al 0.9112 0.5888 0.9835  8 Ni 2.41-2.66
Ni 0.1207 0.8250 0.0828  6 Al 2.49-2.71, 5 Ni 2.49-2.68
Ni 0.1672 0.2785 0.1293  6 Al 2.49-2.71, 5 Ni 2.49-2.68
Ni 0.2785 0.1672 0.4250  6 Al 2.49-2.71, 5 Ni 2.49-2.68
Ni 0.4354 0.4354 0.5646  6 Al 2.41-2.66, 4 Ni 2.51-2.68
Ni 0.6854 0.6854 0.8146  6 Al 2.41-2.66, 4 Ni 2.51-2.68
Ni 0.8250 0.1207 0.9715  6 Al 2.49-2.71, 5 Ni 2.49-2.68

distance to the lowest polymorph of the same formula: 0.00 eV/f.u.
ΔE_f: -521 meV per atom
DFT total energy: -5.487 eV per atom

# 4
Below is an optimized crystal structure of K2ReHg, with properties calculated at the PBE level.

abc: 2.8589 5.7021 6.0684
angles: 90.00 90.36 90.00
Closest atoms and distances in Å follow each position.
Element x y z (fractional)
K 0.0006 0.0000 0.2437  4 K 2.86-3.11
K 0.9994 0.0000 0.7563  4 K 2.86-3.11
Re 0.5000 0.5000 0.0000  2 Re 2.86, 2 Hg 3.03
Hg 0.5000 0.5000 0.5000  2 Hg 2.86, 2 Re 3.03

ΔE_f: 1118 meV per atom
DFT total energy: -2.619 eV per atom

# 5
Below is an optimized crystal structure of Tm3Sc4Pt4, with properties calculated at the PBE level.

abc: 8.5282 8.5282 8.5282
angles: 151.57 124.52 63.51
Closest atoms and distances in Å follow each position.
Element x y z (fractional)
Tm 0.0000 0.0000 0.0000  6 Pt 3.25-3.26, 8 Sc 3.60
Tm 0.3902 0.8902 0.5000  6 Pt 3.02-3.19, 1 Tm 3.19, 4 Sc 3.32
Tm 0.6098 0.1098 0.5000  6 Pt 3.02-3.19, 1 Tm 3.19, 4 Sc 3.32
Sc 0.0247 0.3292 0.6956  4 Pt 2.65-2.85
Sc 0.3664 0.6708 0.6956  4 Pt 2.65-2.85
Sc 0.6336 0.3292 0.3044  4 Pt 2.65-2.85
Sc 0.9753 0.6708 0.3044  4 Pt 2.65-2.85
Pt 0.2247 0.2247 0.0000  6 Sc 2.72-2.85
Pt 0.3125 0.5000 0.8125  2 Sc 2.65
Pt 0.6875 0.5000 0.1875  2 Sc 2.65
Pt 0.7753 0.7753 0.0000  6 Sc 2.72-2.85

ΔE_f: -976 meV per atom
DFT total energy: -6.695 eV per atom

# 6
Below is an optimized crystal structure of Pm2HoTeO8, with properties calculated at the PBE level.

abc: 5.1550 5.1550 6.9465
angles: 90.00 90.00 91.11
Closest atoms and distances in Å follow each position.
Element x y z (fractional)
Pm 0.0000 0.0000 0.2504  6 O 2.25-2.41
Pm 0.0000 0.0000 0.7496  6 O 2.25-2.41
Ho 0.5000 0.5000 0.0000  6 O 2.18-2.39
Te 0.5000 0.5000 0.5000  6 O 1.93-1.97
O 0.1978 0.1978 0.0000  1 Ho 2.18, 2 Pm 2.25
O 0.2321 0.2321 0.5000  1 Te 1.93
O 0.3224 0.6776 0.2883  1 Te 1.97
O 0.3224 0.6776 0.7117  1 Te 1.97
O 0.6776 0.3224 0.2883  1 Te 1.97
O 0.6776 0.3224 0.7117  1 Te 1.97
O 0.7679 0.7679 0.5000  1 Te 1.93
O 0.8022 0.8022 0.0000  1 Ho 2.18, 2 Pm 2.25

DFT total energy: -7.180 eV per atom
raw formation energy: -2439 meV per atom

# 7
Below is an optimized crystal structure of BeTlAu2, with properties calculated at the PBE level.

abc: 4.4243 4.4243 3.8314
angles: 90.00 90.00 99.45
Closest atoms and distances in Å follow each position.
Element x y z (fractional)
Be 0.0000 0.0000 0.0000  2 Tl 2.86, 8 Au 2.93
Tl 0.5000 0.5000 0.0000  2 Be 2.86, 8 Au 2.93
Au 0.0000 0.5000 0.5000  2 Au 2.86, 4 Tl 2.93, 4 Be 2.93
Au 0.5000 0.0000 0.5000  2 Au 2.86, 4 Tl 2.93, 4 Be 2.93

distance to the lowest polymorph of the same formula: 1.36 eV/f.u.
ΔE_f: 337 meV per atom
DFT total energy: -2.825 eV per atom

# 8
Below is an optimized crystal structure of Pm6Ge3TeS2, with properties calculated at the PBE level.

abc: 9.4840 9.4840 8.5219
angles: 103.23 103.23 25.82
Closest atoms and distances in Å follow each position.
Element x y z (fractional)
Pm 0.0024 0.0024 0.2675  3 Ge 2.91-3.00, 1 S 2.99, 2 Te 3.10
Pm 0.3262 0.3262 0.9133  3 Ge 2.91-3.02, 2 S 3.02, 1 Te 3.12
Pm 0.3326 0.3326 0.4162  3 S 2.95-3.00, 3 Ge 2.99-3.01
Pm 0.6674 0.6674 0.5838  3 S 2.95-3.00, 3 Ge 2.99-3.01
Pm 0.6738 0.6738 0.0867  3 Ge 2.91-3.02, 2 S 3.02, 1 Te 3.12
Pm 0.9976 0.9976 0.7325  3 Ge 2.91-3.00, 1 S 2.99, 2 Te 3.10
Ge 0.1642 0.1642 0.8305  6 Pm 2.91-3.02
Ge 0.5000 0.5000 0.5000  6 Pm 2.91-3.01
Ge 0.8358 0.8358 0.1695  6 Pm 2.91-3.02
Te 0.5000 0.5000 0.0000  6 Pm 3.10-3.12
S 0.1687 0.1687 0.3359  6 Pm 2.95-3.02
S 0.8313 0.8313 0.6641  6 Pm 2.95-3.02

DFT total energy: -5.833 eV per atom
raw formation energy: -1354 meV per atom